Entry 1:
This record from the Alexandria database describes LiDy2Ir after structural relaxation. The functional is GGA-PBEsol.

Cell: 6.8475 6.8475 6.8475 Å, 90.00 90.00 90.00°
Space group Fm-3m (No. 225)
Unique sites:
Li 0.0000 0.0000 0.0000 [4 per cell]
Dy 0.2500 0.2500 0.2500 [8 per cell]
Ir 0.0000 0.0000 0.5000 [4 per cell]

Calculated values
electronic total energy	-95.9	eV per cell

---

Entry 2:
This record from the Alexandria database describes DyLuIr2 after structural relaxation. The functional is GGA-PBEsol.

Cell: 6.6806 6.6806 6.6806 Å, 90.00 90.00 90.00°
Space group Fm-3m (No. 225)
Unique sites:
Dy 0.0000 0.0000 0.0000 [4 per cell]
Lu 0.0000 0.0000 0.5000 [4 per cell]
Ir 0.2500 0.2500 0.2500 [8 per cell]

Calculated values
electronic total energy	-131.8	eV per cell

---

Entry 3:
This record from the Alexandria database describes Dy2IrPd after structural relaxation. The functional is GGA-PBEsol.

Cell: 6.8086 6.8086 6.8086 Å, 90.00 90.00 90.00°
Space group Fm-3m (No. 225)
Unique sites:
Dy 0.2500 0.2500 0.2500 [8 per cell]
Ir 0.0000 0.0000 0.0000 [4 per cell]
Pd 0.0000 0.0000 0.5000 [4 per cell]

Calculated values
electronic total energy	-117.1	eV per cell

---

Entry 4:
This record from the Alexandria database describes Dy5Sc5Si20Ir8 after structural relaxation. The functional is GGA-PBEsol.

Cell: 4.1364 17.5306 17.5534 Å, 90.00 90.00 90.00°
Space group Amm2 (No. 38)
Unique sites:
Dy 0.0000 0.0000 0.0000 [2 per cell]
Dy 0.0000 0.1157 0.6157 [4 per cell]
Dy 0.5000 0.2495 0.3651 [4 per cell]
Sc 0.0000 0.0000 0.2314 [2 per cell]
Sc 0.0000 0.0000 0.4414 [2 per cell]
Sc 0.0000 0.0000 0.7891 [2 per cell]
Sc 0.0000 0.1727 0.1170 [4 per cell]
Si 0.0000 0.1684 0.4412 [4 per cell]
Si 0.0000 0.1684 0.7903 [4 per cell]
Si 0.0000 0.1695 0.2860 [4 per cell]
Si 0.0000 0.1756 0.9480 [4 per cell]
Si 0.5000 0.0000 0.5485 [2 per cell]
Si 0.5000 0.0000 0.6826 [2 per cell]
Si 0.5000 0.0664 0.1159 [4 per cell]
Si 0.5000 0.0671 0.3488 [4 per cell]
Si 0.5000 0.0676 0.8821 [4 per cell]
Si 0.5000 0.2338 0.5485 [4 per cell]
Si 0.5000 0.2345 0.6835 [4 per cell]
Ir 0.5000 0.1168 0.4791 [4 per cell]
Ir 0.5000 0.1169 0.7521 [4 per cell]
Ir 0.5000 0.1346 0.2321 [4 per cell]
Ir 0.5000 0.1364 0.9993 [4 per cell]

Calculated values
uncorrected formation energy	-958	meV per atom